Y2MgSi2Pd5, optimized geometry, DFT PBE; density of states at the Fermi level = 8.15 states/eV/f.u.; energy relative to the elements, uncorrected = -0.769 eV/atom; E = -59.027 eV/f.u.; crystal system = tetragonal
1.0
3.596 0.000 0.000
0.000 10.000 0.000
0.000 0.000 10.000
Pd Si Y Mg
10 4 4 2
Direct
0.500 0.215 0.062
0.500 0.062 0.785
0.500 0.000 0.500
0.500 0.785 0.938
0.500 0.500 0.000
0.500 0.938 0.215
0.500 0.438 0.285
0.500 0.562 0.715
0.500 0.715 0.438
0.500 0.285 0.562
0.000 0.626 0.874
0.000 0.126 0.626
0.000 0.374 0.126
0.000 0.874 0.374
0.000 0.326 0.826
0.000 0.174 0.326
0.000 0.826 0.674
0.000 0.674 0.174
0.000 0.000 0.000
0.000 0.500 0.500